1.
5
Lattice="-2.461 2.461 8.127 2.461 -2.461 8.127 2.461 2.461 -8.127" Properties=species:S:1:pos:R:3 comment="CsPuInSb2 (GGA-PBE, relaxed)" space_group="I-4m2 (119)" raw_formation_energy_ev_per_atom=-0.372 energy_ev_per_atom=-5.606 magmom_total_mub_per_fu=5.849 rho_g_cm3=6.20 pbc="T T T"
Cs 0.000 0.000 0.000
Pu 0.000 2.461 4.063
In 2.461 0.000 4.063
Sb 0.000 0.000 5.899
Sb 0.000 0.000 10.354

2.
16
Lattice="0.000 7.651 13.293 3.336 0.000 13.293 3.336 7.651 0.000" Properties=species:S:1:pos:R:3 comment="Cs2PuInSe4 (GGA-PBE, relaxed)" space_group="Fddd (70)" raw_formation_energy_ev_per_atom=-1.039 energy_ev_per_atom=-5.128 magmom_total_mub_per_fu=5.000 rho_g_cm3=4.60 pbc="T T T"
Cs 2.502 5.738 1.466
Cs 4.169 9.564 8.113
Cs 2.502 5.738 18.474
Cs 4.169 9.564 25.120
Pu 0.834 1.913 3.323
Pu 5.837 13.390 23.263
In 2.502 5.738 9.970
In 4.169 9.564 16.617
Se 2.597 3.498 4.746
Se 4.074 7.323 11.392
Se 2.407 7.979 4.746
Se 2.407 3.498 15.194
Se 4.264 11.805 11.392
Se 4.264 7.323 21.841
Se 2.597 7.979 15.194
Se 4.074 11.805 21.841

3.
14
Lattice="7.021 0.000 0.000 0.000 7.177 0.000 -0.975 0.000 9.424" Properties=species:S:1:pos:R:3 comment="CsPuInSe4 (GGA-PBE, relaxed)" space_group="P2_1/m (11)" raw_formation_energy_ev_per_atom=-0.975 energy_ev_per_atom=-5.527 magmom_total_mub_per_fu=3.993 rho_g_cm3=5.65 pbc="T T T"
Cs 1.481 1.794 0.518
Cs 4.564 5.383 8.906
Pu 0.808 5.383 4.257
Pu 5.238 1.794 5.168
In 1.817 1.794 6.172
In 4.229 5.383 3.252
Se 0.000 3.677 6.513
Se 0.000 7.088 6.513
Se 2.178 5.383 1.699
Se 2.784 1.794 3.787
Se 3.262 5.383 5.637
Se 3.868 1.794 7.725
Se 6.046 0.089 2.912
Se 6.046 3.499 2.912

4.
15
Lattice="4.243 2.450 8.463 -4.243 2.450 8.463 0.000 -4.899 8.463" Properties=species:S:1:pos:R:3 comment="Cs3Pu3InSe8 (GGA-PBE, relaxed)" space_group="R-3m (166)" raw_formation_energy_ev_per_atom=-1.247 energy_ev_per_atom=-6.325 magmom_total_mub_per_fu=13.999 rho_g_cm3=5.91 pbc="T T T"
Cs -2.121 -1.225 8.463
Cs -2.121 1.225 16.925
Cs 0.000 2.450 8.463
Pu -4.243 0.000 12.694
Pu -2.121 1.225 4.231
Pu 2.121 1.225 4.231
In 0.000 0.000 12.694
Se 0.000 0.000 5.775
Se -2.105 -1.216 14.212
Se 0.000 -2.431 11.176
Se -2.105 1.216 11.176
Se 2.106 -1.216 14.212
Se 0.000 2.431 14.212
Se 2.105 1.216 11.176
Se 0.000 0.000 19.613